Entry 1:
Compound: BeReF2
Source: Alexandria via LeMat-Bulk
Functional: PBE
Structure: relaxed

Calculated values
Calculated density in g cm⁻³: 8.85

Lattice parameters (Å, degrees): 3.956 3.956 3.956 60.00 60.00 60.00
Fractional coordinates of all 4 atoms:
Re (0.500, 0.500, 0.500)
F (0.750, 0.750, 0.750)
F (0.250, 0.250, 0.250)
Be (0.000, 0.000, 0.000)

---

Entry 2:
Compound: BeRe3F
Source: Alexandria via LeMat-Bulk
Functional: PBE
Structure: relaxed

Calculated values
Calculated density in g cm⁻³: 13.46

Lattice parameters (Å, degrees): 4.167 4.167 4.167 90.00 90.00 90.00
Fractional coordinates of all 5 atoms:
Re (0.000, 0.500, 0.000)
Re (0.500, 0.000, 0.000)
Re (0.000, 0.000, 0.500)
Be (0.000, 0.000, 0.000)
F (0.500, 0.500, 0.500)

---

Entry 3:
Compound: BeReF2
Source: Alexandria via LeMat-Bulk
Functional: PBE
Structure: relaxed

Calculated values
Calculated density in g cm⁻³: 6.91

Lattice parameters (Å, degrees): 9.753 9.753 9.753 15.27 15.27 15.27
Fractional coordinates of all 4 atoms:
F (0.135, 0.135, 0.135)
F (0.865, 0.865, 0.865)
Re (0.000, 0.000, 0.000)
Be (0.500, 0.500, 0.500)

---

Entry 4:
Compound: BeReF2
Source: Alexandria via LeMat-Bulk
Functional: PBE
Structure: relaxed

Calculated values
Calculated density in g cm⁻³: 8.49

Lattice parameters (Å, degrees): 5.051 5.051 5.055 60.02 60.02 90.00
Fractional coordinates of all 8 atoms:
Re (0.000, 0.000, 0.000)
Re (0.750, 0.250, 0.500)
F (0.375, 0.625, 0.750)
F (0.375, 0.125, 0.250)
F (0.375, 0.625, 0.250)
F (0.875, 0.625, 0.750)
Be (0.250, 0.750, 0.500)
Be (0.500, 0.500, 0.000)

---

Entry 5:
Compound: Be3ReF
Source: Alexandria via LeMat-Bulk
Functional: PBE
Structure: relaxed

Calculated values
Calculated density in g cm⁻³: 4.83

Lattice parameters (Å, degrees): 4.306 4.306 4.306 90.00 90.00 90.00
Fractional coordinates of all 5 atoms:
Be (0.500, 0.000, 0.000)
Be (0.000, 0.500, 0.000)
Be (0.000, 0.000, 0.500)
Re (0.000, 0.000, 0.000)
F (0.500, 0.500, 0.500)

---

Entry 6:
Compound: BeReF2
Source: Alexandria via LeMat-Bulk
Functional: PBE
Structure: relaxed

Calculated values
Calculated density in g cm⁻³: 6.08

Lattice parameters (Å, degrees): 10.260 10.260 10.260 15.08 15.08 15.08
Last column: magnetic moment on the atom in μB.
Fractional coordinates of all 4 atoms:
Re (0.500, 0.500, 0.500)  0.57
F (0.955, 0.955, 0.955)  0.00
F (0.045, 0.045, 0.045)  0.00
Be (0.000, 0.000, 0.000)  0.00

---

We obtain relative energy among the computed polymorphs values of 1.952; 0.000; 0.000; 0.889; 1.462; 0.615 eV per atom for the records listed above, in that order.
We obtain energy relative to the elements, uncorrected values of 144; 687; -610; -266; 595; -372 kJ/mol of formula units for the records listed above, in that order.
We obtain uncorrected energy values of -4.61; -7.16; -6.56; -5.67; -3.87; -5.94 eV per atom for the records listed above, in that order.